{"formula": "SmDyMgZr", "functional": "PBE", "state": "optimized geometry", "dos_at_fermi_per_ev_atom": 1.294, "total_energy_ev_per_atom": -4.74, "lattice": [[0.0000, 3.8045, 3.8045], [3.8045, 0.0000, 3.8045], [3.8045, 3.8045, 0.0000]], "species": ["Sm", "Dy", "Mg", "Zr"], "frac_coords": [[0.0000, 0.0000, 0.0000], [0.5000, 0.5000, 0.5000], [0.2500, 0.2500, 0.2500], [0.7500, 0.7500, 0.7500]]}